Compound: Dy2HoThSc4
Source: Alexandria via LeMat-Bulk
Functional: PBE
Structure: relaxed

a = 4.9364 Å, b = 4.9364 Å, c = 9.1460 Å
α = 90.00°, β = 90.00°, γ = 90.00°
Fractional positions:
Dy: 0.0000 0.0000 0.0000
Dy: 0.5000 0.5000 0.5000
Ho: 0.0000 0.0000 0.5000
Th: 0.5000 0.5000 0.0000
Sc: 0.0000 0.5000 0.2478
Sc: 0.0000 0.5000 0.7522
Sc: 0.5000 0.0000 0.2478
Sc: 0.5000 0.0000 0.7522

Magnetization, μB/atom: 0.00
E_form, eV/f.u.: 0.33
Final energy, eV/f.u.: -46.2